Arrangement 1

Ho3TmPu after structural relaxation. Source: Alexandria, functional PBE-GGA.

a b c (Å): 4.9367 6.9539 9.2306
angles (deg): 79.00 105.51 90.00
Positions (direct):
Ho  0.7985  0.3535  0.5969
Ho  0.9994  0.2538  0.9987
Ho  0.6005  0.9498  0.2010
Ho  0.0006  0.7462  0.0013
Ho  0.2015  0.6465  0.4031
Ho  0.3995  0.0502  0.7990
Tm  0.8016  0.8468  0.6031
Tm  0.1984  0.1532  0.3969
Pu  0.5986  0.4504  0.1972
Pu  0.4014  0.5496  0.8028

The value obtained for the magnetization is 12.91 Bohr magnetons per cell.


Arrangement 2

Ho3TmPu after structural relaxation. Source: Alexandria, functional PBE-GGA.

a b c (Å): 6.8756 5.3619 17.1909
angles (deg): 108.13 90.00 90.00
Positions (direct):
Ho  0.4992  0.3928  0.8929
Ho  0.2495  0.1985  0.6983
Ho  0.9992  0.6072  0.6071
Ho  0.2505  0.1985  0.1983
Ho  0.7505  0.8015  0.3017
Ho  0.5008  0.6072  0.1071
Ho  0.7495  0.8015  0.8017
Ho  0.2487  0.8016  0.8016
Ho  0.7513  0.1984  0.1984
Ho  0.0008  0.3928  0.3929
Ho  0.7487  0.1984  0.6984
Ho  0.2513  0.8016  0.3016
Tm  0.0008  0.6075  0.1074
Tm  0.4992  0.6075  0.6074
Tm  0.5008  0.3925  0.3926
Tm  0.9992  0.3925  0.8926
Pu  0.7481  0.0000  0.5000
Pu  0.2519  0.0000  0.5000
Pu  0.2481  0.0000  0.0000
Pu  0.7519  0.0000  0.0000

The value obtained for the magnetization is 26.76 Bohr magnetons per cell.


Which is most stable, and by how much? arrangement 1, by 19 meV/atom.


Arrangement 1

Ho12Tm7Pu after structural relaxation. Source: Alexandria, functional PBE-GGA.

a b c (Å): 9.7343 9.7343 9.7343
angles (deg): 109.47 109.47 109.47
Positions (direct):
Tm  0.5000  0.0000  0.5000
Tm  0.5000  0.0000  0.0000
Tm  0.0000  0.5000  0.5000
Tm  0.5000  0.5000  0.0000
Tm  0.0000  0.0000  0.5000
Tm  0.0000  0.5000  0.0000
Tm  0.5000  0.5000  0.5000
Ho  0.2540  0.2544  0.5084
Ho  0.7456  0.4916  0.7460
Ho  0.4916  0.7460  0.7456
Ho  0.0004  0.7460  0.2544
Ho  0.2544  0.0004  0.7460
Ho  0.5084  0.2540  0.2544
Ho  0.7460  0.2544  0.0004
Ho  0.7456  0.9996  0.2540
Ho  0.2540  0.7456  0.9996
Ho  0.2544  0.5084  0.2540
Ho  0.9996  0.2540  0.7456
Ho  0.7460  0.7456  0.4916
Pu  0.0000  0.0000  0.0000

The value obtained for the magnetization is 6.27 Bohr magnetons per cell.


Arrangement 2

Ho12Tm7Pu after structural relaxation. Source: Alexandria, functional PBE-GGA.

a b c (Å): 8.6334 8.6334 8.6334
angles (deg): 98.89 98.89 98.89
Positions (direct):
Tm  0.1022  0.6654  0.1021
Tm  0.1021  0.1022  0.6654
Tm  0.6654  0.1021  0.1022
Tm  0.8979  0.8978  0.3346
Tm  0.8978  0.3346  0.8979
Tm  0.3346  0.8979  0.8978
Tm  0.5000  0.5000  0.5000
Ho  0.7607  0.2393  0.5000
Ho  0.9129  0.6454  0.6454
Ho  0.3546  0.0871  0.3546
Ho  0.3546  0.3546  0.0871
Ho  0.2393  0.5000  0.7607
Ho  0.5000  0.2393  0.7607
Ho  0.0871  0.3546  0.3546
Ho  0.7607  0.5000  0.2393
Ho  0.6454  0.6454  0.9129
Ho  0.6454  0.9129  0.6454
Ho  0.5000  0.7607  0.2393
Ho  0.2393  0.7607  0.5000
Pu  0.0000  0.0000  0.0000

The value obtained for the magnetization is 5.66 Bohr magnetons per cell.


Which is most stable, and by how much? arrangement 2, by 659 meV/atom.


Arrangement 1

Ho8Tm2Pu after structural relaxation. Source: Alexandria, functional PBE-GGA.

a b c (Å): 5.5641 9.9724 9.9724
angles (deg): 39.73 92.23 92.23
Positions (direct):
Ho  0.2629  0.1329  0.6035
Ho  0.7371  0.3965  0.8671
Ho  0.2376  0.1849  0.1849
Ho  0.2629  0.6035  0.1329
Ho  0.7371  0.8671  0.3965
Ho  0.7613  0.4533  0.4533
Ho  0.2387  0.5467  0.5467
Ho  0.7624  0.8151  0.8151
Tm  0.2477  0.7166  0.7166
Tm  0.7523  0.2834  0.2834
Pu  0.0000  0.0000  0.0000

The value obtained for the magnetization is 5.88 Bohr magnetons per cell.


Arrangement 2

Ho8Tm2Pu after structural relaxation. Source: Alexandria, functional PBE-GGA.

a b c (Å): 5.4654 7.8202 9.2909
angles (deg): 114.89 107.11 90.00
Positions (direct):
Tm  0.1979  0.6979  0.3957
Tm  0.8021  0.3021  0.6043
Ho  0.0000  0.7162  0.0000
Ho  0.6348  0.4221  0.2697
Ho  0.6348  0.8476  0.2697
Ho  0.0000  0.2838  0.0000
Ho  0.1683  0.1683  0.3366
Ho  0.3652  0.5779  0.7303
Ho  0.8317  0.8317  0.6634
Ho  0.3652  0.1524  0.7303
Pu  0.5000  0.0000  0.0000

The value obtained for the magnetization is 6.80 Bohr magnetons per cell.


Which is most stable, and by how much? arrangement 2, by 65 meV/atom.


Arrangement 1

Ho6Tm2Pu after structural relaxation. Source: Alexandria, functional PBE-GGA.

a b c (Å): 9.0449 6.1670 16.2452
angles (deg): 79.08 120.87 132.97
Positions (direct):
Ho  0.7514  0.3329  0.6659
Ho  0.2486  0.6671  0.3341
Ho  0.7495  0.4430  0.4440
Ho  0.2485  0.3308  0.9990
Ho  0.7515  0.6692  0.0010
Ho  0.2490  0.7773  0.1123
Ho  0.7510  0.2227  0.8877
Ho  0.7557  0.8882  0.5538
Ho  0.2443  0.1118  0.4462
Ho  0.2511  0.8888  0.8860
Ho  0.2505  0.5570  0.5560
Ho  0.7489  0.1112  0.1140
Tm  0.2519  0.4457  0.7756
Tm  0.2520  0.2318  0.2237
Tm  0.7481  0.5543  0.2244
Tm  0.7480  0.7682  0.7763
Pu  0.7458  0.0002  0.3321
Pu  0.2542  0.9998  0.6679

The value obtained for the magnetization is 13.61 Bohr magnetons per cell.


Arrangement 2

Ho6Tm2Pu after structural relaxation. Source: Alexandria, functional PBE-GGA.

a b c (Å): 7.2172 7.2172 7.5435
angles (deg): 61.42 61.42 60.00
Positions (direct):
Ho  0.7735  0.2598  0.7067
Ho  0.0555  0.6029  0.2860
Ho  0.2599  0.7735  0.7067
Ho  0.0556  0.0555  0.2860
Ho  0.2598  0.2599  0.7067
Ho  0.6029  0.0556  0.2860
Tm  0.7569  0.7569  0.7292
Tm  0.5787  0.5787  0.2640
Pu  0.3228  0.3228  0.0317

The value obtained for the magnetization is 4.49 Bohr magnetons per cell.


Which is most stable, and by how much? arrangement 1, by 309 meV/atom.


Arrangement 1

YHo2Pu after structural relaxation. Source: Alexandria, functional PBE-GGA.

a b c (Å): 3.7235 5.7243 5.7243
angles (deg): 90.00 90.00 90.00
Positions (direct):
Pu  0.5000  0.5000  0.5000
Ho  0.0000  0.5000  0.0000
Ho  0.0000  0.0000  0.5000
Y  0.5000  0.0000  0.0000

The value obtained for the magnetization is 7.43 Bohr magnetons per cell.


Arrangement 2

YHo2Pu after structural relaxation. Source: Alexandria, functional PBE-GGA.

a b c (Å): 3.4923 3.4923 9.9762
angles (deg): 90.00 90.00 90.00
Positions (direct):
Ho  0.0000  0.0000  0.2567
Ho  0.0000  0.0000  0.7433
Pu  0.5000  0.5000  0.5000
Y  0.5000  0.5000  0.0000

The value obtained for the magnetization is 6.14 Bohr magnetons per cell.


Arrangement 3

YHo2Pu after structural relaxation. Source: Alexandria, functional PBE-GGA.

a b c (Å): 5.5734 5.5734 5.5734
angles (deg): 60.00 60.00 60.00
Positions (direct):
Pu  0.0000  0.0000  0.0000
Ho  0.2500  0.2500  0.2500
Ho  0.7500  0.7500  0.7500
Y  0.5000  0.5000  0.5000

The value obtained for the magnetization is 7.06 Bohr magnetons per cell.


Which is most stable, and by how much? arrangement 2, by 80 meV/atom.


Arrangement 1

Y2Ho6Pu after structural relaxation. Source: Alexandria, functional PBE-GGA.

a b c (Å): 8.1964 6.3311 10.9584
angles (deg): 90.76 90.00 90.00
Positions (direct):
Ho  0.8137  0.4063  0.5087
Ho  0.6863  0.9063  0.0087
Ho  0.3137  0.0937  0.9913
Ho  0.6089  0.2284  0.7497
Ho  0.3536  0.1414  0.5067
Ho  0.6464  0.8586  0.4933
Ho  0.1863  0.5937  0.4913
Ho  0.1089  0.2716  0.7503
Ho  0.1464  0.6414  0.0067
Ho  0.3911  0.7716  0.2503
Ho  0.8911  0.7284  0.2497
Ho  0.8536  0.3586  0.9933
Y  0.1054  0.2469  0.2423
Y  0.8946  0.7531  0.7577
Y  0.6054  0.2531  0.2577
Y  0.3946  0.7469  0.7423
Pu  0.5000  0.5000  0.0000
Pu  0.0000  0.0000  0.5000

The value obtained for the magnetization is 12.50 Bohr magnetons per cell.


Arrangement 2

Y2Ho6Pu after structural relaxation. Source: Alexandria, functional PBE-GGA.

a b c (Å): 7.2633 7.2633 7.5691
angles (deg): 61.33 61.33 60.00
Positions (direct):
Y  0.7567  0.7567  0.7298
Y  0.5780  0.5780  0.2661
Ho  0.7753  0.2586  0.7076
Ho  0.6032  0.0563  0.2842
Ho  0.0563  0.6032  0.2842
Ho  0.2586  0.7753  0.7076
Ho  0.2586  0.2586  0.7076
Ho  0.0563  0.0563  0.2842
Pu  0.3228  0.3228  0.0316

The value obtained for the magnetization is 4.39 Bohr magnetons per cell.


Which is most stable, and by how much? arrangement 1, by 76 meV/atom.


Arrangement 1

Y2HoPu after structural relaxation. Source: Alexandria, functional PBE-GGA.

a b c (Å): 5.0020 4.9690 4.9690
angles (deg): 90.00 90.00 90.00
Positions (direct):
Y  0.0000  0.5000  0.0000
Y  0.0000  0.0000  0.5000
Pu  0.5000  0.5000  0.5000
Ho  0.5000  0.0000  0.0000

The value obtained for the magnetization is 6.32 Bohr magnetons per cell.


Arrangement 2

Y2HoPu after structural relaxation. Source: Alexandria, functional PBE-GGA.

a b c (Å): 3.5510 3.5510 11.5529
angles (deg): 81.16 81.16 60.00
Positions (direct):
Pu  0.6662  0.6662  0.0014
Ho  0.5004  0.5004  0.4987
Y  0.0826  0.0826  0.7521
Y  0.2507  0.2507  0.2478

The value obtained for the magnetization is 5.88 Bohr magnetons per cell.


Which is most stable, and by how much? arrangement 2, by 54 meV/atom.


Arrangement 1

Y2HoPu after structural relaxation. Source: Alexandria, functional PBE-GGA.

a b c (Å): 3.4507 3.4507 12.3996
angles (deg): 82.00 82.00 60.00
Positions (direct):
Ho  0.5000  0.5000  0.5000
Y  0.0889  0.0889  0.7334
Y  0.9111  0.9111  0.2666
Pu  0.0000  0.0000  0.0000

The value obtained for the magnetization is 6.45 Bohr magnetons per cell.


Arrangement 2

Y2HoPu after structural relaxation. Source: Alexandria, functional PBE-GGA.

a b c (Å): 3.5044 3.5044 10.0391
angles (deg): 90.00 90.00 90.00
Positions (direct):
Y  0.0000  0.0000  0.2539
Y  0.0000  0.0000  0.7461
Pu  0.5000  0.5000  0.5000
Ho  0.5000  0.5000  0.0000

The value obtained for the magnetization is 6.20 Bohr magnetons per cell.


Arrangement 3

Y2HoPu after structural relaxation. Source: Alexandria, functional PBE-GGA.

a b c (Å): 5.5990 5.5990 5.5990
angles (deg): 60.00 60.00 60.00
Positions (direct):
Y  0.7500  0.7500  0.7500
Y  0.2500  0.2500  0.2500
Pu  0.5000  0.5000  0.5000
Ho  0.0000  0.0000  0.0000

The value obtained for the magnetization is 7.00 Bohr magnetons per cell.


Which is most stable, and by how much? arrangement 2, by 91 meV/atom.


Arrangement 1

Y12Ho7Pu after structural relaxation. Source: Alexandria, functional PBE-GGA.

a b c (Å): 6.0978 11.3351 11.3351
angles (deg): 116.86 100.33 100.33
Positions (direct):
Y  0.5015  0.5880  0.4170
Y  0.5681  0.9956  0.6455
Y  0.0845  0.5830  0.1710
Y  0.4319  0.0044  0.3545
Y  0.0774  0.6455  0.6499
Y  0.9135  0.8290  0.4120
Y  0.4985  0.4120  0.5830
Y  0.5725  0.6499  0.0044
Y  0.9226  0.3545  0.3501
Y  0.4275  0.3501  0.9956
Y  0.9155  0.4170  0.8290
Y  0.0865  0.1710  0.5880
Ho  0.1102  0.9957  0.7568
Ho  0.8898  0.0043  0.2432
Ho  0.5000  0.0000  0.0000
Ho  0.3534  0.2432  0.2389
Ho  0.1145  0.7611  0.0043
Ho  0.6466  0.7568  0.7611
Ho  0.8855  0.2389  0.9957
Pu  0.0000  0.0000  0.0000

The value obtained for the magnetization is 5.29 Bohr magnetons per cell.


Arrangement 2

Y12Ho7Pu after structural relaxation. Source: Alexandria, functional PBE-GGA.

a b c (Å): 9.5367 9.5367 9.5367
angles (deg): 110.77 110.77 110.77
Positions (direct):
Ho  0.2057  0.0357  0.3270
Ho  0.7943  0.9643  0.6730
Ho  0.9643  0.6730  0.7943
Ho  0.5000  0.5000  0.5000
Ho  0.3270  0.2057  0.0357
Ho  0.0357  0.3270  0.2057
Ho  0.6730  0.7943  0.9643
Pu  0.0000  0.0000  0.0000
Y  0.3438  0.7681  0.4010
Y  0.6562  0.2319  0.5990
Y  0.4273  0.9146  0.1246
Y  0.0854  0.8754  0.5727
Y  0.4010  0.3438  0.7681
Y  0.8754  0.5727  0.0854
Y  0.5727  0.0854  0.8754
Y  0.7681  0.4010  0.3438
Y  0.2319  0.5990  0.6562
Y  0.5990  0.6562  0.2319
Y  0.1246  0.4273  0.9146
Y  0.9146  0.1246  0.4273

The value obtained for the magnetization is 5.26 Bohr magnetons per cell.


Which is most stable, and by how much? arrangement 2, by 138 meV/atom.


Arrangement 1

HoPuZn4 after structural relaxation. Source: Alexandria, functional PBE-GGA.

a b c (Å): 5.4556 5.4556 5.4556
angles (deg): 60.00 60.00 60.00
Positions (direct):
Zn  0.6252  0.1244  0.6252
Zn  0.1244  0.6252  0.6252
Zn  0.6252  0.6252  0.6252
Zn  0.6252  0.6252  0.1244
Ho  0.0000  0.0000  0.0000
Pu  0.2500  0.2500  0.2500

The value obtained for the magnetization is 5.40 Bohr magnetons per cell.


Arrangement 2

HoPuZn4 after structural relaxation. Source: Alexandria, functional PBE-GGA.

a b c (Å): 4.0731 4.0731 8.2168
angles (deg): 104.35 104.35 90.00
Positions (direct):
Zn  0.6676  0.1676  0.3353
Zn  0.4199  0.4199  0.8397
Zn  0.5801  0.5801  0.1603
Zn  0.8324  0.3324  0.6647
Ho  0.0000  0.0000  0.0000
Pu  0.2500  0.7500  0.5000

The value obtained for the magnetization is 6.24 Bohr magnetons per cell.


Which is most stable, and by how much? arrangement 1, by 78 meV/atom.